Model a:
Below is a relaxed Sb2MoRhI crystal, with properties calculated at the PBE level.

abc: 5.0832 5.0832 5.5240
angles: 90.00 90.00 90.00
Last column: nearest neighbours and their distance in Å.
Sites, in units of the cell vectors:
1 Sb 0.0000 0.5000 0.0000  2 Rh 2.54
2 Sb 0.5000 0.0000 0.0000  2 Rh 2.54
3 Mo 0.0000 0.0000 0.5000  4 I 3.59, 8 Sb 3.75
4 Rh 0.5000 0.5000 0.0000  4 Sb 2.54, 2 I 2.76
5 I 0.5000 0.5000 0.5000  2 Rh 2.76

Output
- Total moment: 0.733 μB/atom

***

Model b:
Below is a relaxed Sb2MoRhI crystal, with properties calculated at the PBE level.

abc: 5.1381 5.1381 5.4809
angles: 90.00 90.00 90.00
Last column: nearest neighbours and their distance in Å.
Sites, in units of the cell vectors:
1 Sb 0.0000 0.5000 0.0000  2 Mo 2.57
2 Sb 0.5000 0.0000 0.0000  2 Mo 2.57
3 Mo 0.0000 0.0000 0.0000  4 Sb 2.57, 2 I 2.74
4 Rh 0.5000 0.5000 0.5000  4 I 3.63, 8 Sb 3.76
5 I 0.0000 0.0000 0.5000  2 Mo 2.74

Output
- Total moment: 0.000 μB/atom

***

Bottom line: model a, by a margin of 0.113 eV/atom.

***

Model a:
Below is a relaxed MoRu2I crystal, with properties calculated at the PBE level.

abc: 4.5759 4.5759 4.5759
angles: 60.00 60.00 60.00
Last column: nearest neighbours and their distance in Å.
Sites, in units of the cell vectors:
1 Mo 0.0000 0.0000 0.0000  8 Ru 2.80
2 Ru 0.2500 0.2500 0.2500  4 Mo 2.80, 4 I 2.80
3 Ru 0.7500 0.7500 0.7500  4 Mo 2.80, 4 I 2.80
4 I 0.5000 0.5000 0.5000  8 Ru 2.80

Output
- Total moment: 0.515 μB/atom

***

Model b:
Below is a relaxed MoRu2I crystal, with properties calculated at the PBE level.

abc: 6.9939 6.9939 6.9939
angles: 130.85 130.85 72.05
Last column: nearest neighbours and their distance in Å.
Sites, in units of the cell vectors:
1 Mo 0.0000 0.0000 0.0000  4 Ru 2.40
2 Mo 0.7500 0.2500 0.5000  4 Ru 2.40
3 Ru 0.0943 0.6250 0.9693  2 Mo 2.40, 2 I 2.60
4 Ru 0.3750 0.3443 0.4693  2 Mo 2.40, 2 I 2.60
5 Ru 0.6557 0.1250 0.0307  2 Mo 2.40, 2 I 2.60
6 Ru 0.8750 0.9057 0.5307  2 Mo 2.40, 2 I 2.60
7 I 0.2500 0.7500 0.5000  4 Ru 2.60
8 I 0.5000 0.5000 0.0000  4 Ru 2.60

Output
- Total moment: 0.000 μB/atom

***

Bottom line: model b, by a margin of 0.029 eV/atom.

***

Model a:
Below is a relaxed MoRuI2 crystal, with properties calculated at the PBE level.

abc: 7.3325 7.3325 7.3325
angles: 131.44 131.44 71.11
Last column: nearest neighbours and their distance in Å.
Sites, in units of the cell vectors:
1 Mo 0.0000 0.0000 0.0000  4 I 2.63
2 Mo 0.7500 0.2500 0.5000  4 I 2.63
3 Ru 0.2500 0.7500 0.5000  4 I 2.58
4 Ru 0.5000 0.5000 0.0000  4 I 2.58
5 I 0.1321 0.6250 0.0071  2 Ru 2.58, 2 Mo 2.63
6 I 0.3750 0.3821 0.5071  2 Ru 2.58, 2 Mo 2.63
7 I 0.6179 0.1250 0.9929  2 Ru 2.58, 2 Mo 2.63
8 I 0.8750 0.8679 0.4929  2 Ru 2.58, 2 Mo 2.63

Output
- Total moment: 0.000 μB/atom

***

Model b:
Below is a relaxed MoRuI2 crystal, with properties calculated at the PBE level.

abc: 4.7947 4.7947 4.7947
angles: 60.00 60.00 60.00
Last column: nearest neighbours and their distance in Å.
Sites, in units of the cell vectors:
1 Mo 0.0000 0.0000 0.0000  8 I 2.94
2 Ru 0.5000 0.5000 0.5000  8 I 2.94
3 I 0.2500 0.2500 0.2500  4 Ru 2.94, 4 Mo 2.94
4 I 0.7500 0.7500 0.7500  4 Ru 2.94, 4 Mo 2.94

Output
- Total moment: 0.000 μB/atom

***

Bottom line: model b, by a margin of 0.027 eV/atom.

***

Model a:
Below is a relaxed MoRu3I crystal, with properties calculated at the PBE level.

abc: 4.7476 4.7476 4.7476
angles: 90.00 90.00 90.00
Last column: nearest neighbours and their distance in Å.
Sites, in units of the cell vectors:
1 Mo 0.0000 0.0000 0.0000  6 Ru 2.37
2 Ru 0.0000 0.0000 0.5000  2 Mo 2.37
3 Ru 0.0000 0.5000 0.0000  2 Mo 2.37
4 Ru 0.5000 0.0000 0.0000  2 Mo 2.37
5 I 0.5000 0.5000 0.5000  12 Ru 3.36

Output
- Total moment: 0.475 μB/atom

***

Model b:
Below is a relaxed MoRu3I crystal, with properties calculated at the PBE level.

abc: 4.7105 4.7105 4.7105
angles: 90.00 90.00 90.00
Last column: nearest neighbours and their distance in Å.
Sites, in units of the cell vectors:
1 Mo 0.0000 0.0000 0.0000  12 Ru 3.33
2 Ru 0.0000 0.5000 0.5000  2 I 2.36
3 Ru 0.5000 0.0000 0.5000  2 I 2.36
4 Ru 0.5000 0.5000 0.0000  2 I 2.36
5 I 0.5000 0.5000 0.5000  6 Ru 2.36

Output
- Total moment: 0.000 μB/atom

***

Bottom line: model a, by a margin of 0.614 eV/atom.

***

Model a:
Below is a relaxed MoS2I2 crystal, with properties calculated at the PBE level.

abc: 6.8715 6.8715 8.2095
angles: 102.63 102.63 113.75
Last column: nearest neighbours and their distance in Å.
Sites, in units of the cell vectors:
1 Mo 0.1215 0.8785 0.0000  4 S 2.43-2.44
2 Mo 0.8785 0.1215 0.0000  4 S 2.43-2.44
3 S 0.1132 0.1132 0.2652  1 S 2.04
4 S 0.2867 0.2867 0.1271  1 S 2.04
5 S 0.7133 0.7133 0.8729  1 S 2.04
6 S 0.8868 0.8868 0.7348  1 S 2.04
7 I 0.0544 0.4547 0.7856  1 Mo 2.85
8 I 0.4547 0.0544 0.7856  1 Mo 2.85
9 I 0.5453 0.9456 0.2144  1 Mo 2.85
10 I 0.9456 0.5453 0.2144  1 Mo 2.85

Output
- Total moment: 0.202 μB/atom

***

Model b:
Below is a relaxed MoS2I2 crystal, with properties calculated at the PBE level.

abc: 6.1689 6.1689 8.6067
angles: 90.00 90.00 90.00
Last column: nearest neighbours and their distance in Å.
Sites, in units of the cell vectors:
1 Mo 0.0000 0.0000 0.0000  4 S 2.37
2 Mo 0.5000 0.5000 0.0000  4 S 2.37
3 S 0.1450 0.3550 0.0000  2 Mo 2.37, 1 S 2.53
4 S 0.3550 0.8550 0.0000  2 Mo 2.37, 1 S 2.53
5 S 0.6450 0.1450 0.0000  2 Mo 2.37, 1 S 2.53
6 S 0.8550 0.6450 0.0000  2 Mo 2.37, 1 S 2.53
7 I 0.1852 0.6852 0.5000  5 I 3.19-3.23
8 I 0.3148 0.1852 0.5000  5 I 3.19-3.23
9 I 0.6852 0.8148 0.5000  5 I 3.19-3.23
10 I 0.8148 0.3148 0.5000  5 I 3.19-3.23

Output
- Total moment: 0.387 μB/atom

***

Bottom line: model a, by a margin of 0.452 eV/atom.

***

Model a:
Below is a relaxed MoS2I crystal, with properties calculated at the PBE level.

abc: 12.0314 12.0314 12.0314
angles: 15.60 15.60 15.60
Last column: nearest neighbours and their distance in Å.
Sites, in units of the cell vectors:
1 Mo 0.0000 0.0000 0.0000  6 S 2.44
2 S 0.3769 0.3769 0.3769  3 Mo 2.44
3 S 0.6231 0.6231 0.6231  3 Mo 2.44
4 I 0.5000 0.5000 0.5000  6 I 3.27

Output
- Total moment: 0.000 μB/atom

***

Model b:
Below is a relaxed MoS2I crystal, with properties calculated at the PBE level.

abc: 8.4435 8.4435 5.8429
angles: 96.77 96.77 145.99
Last column: nearest neighbours and their distance in Å.
Sites, in units of the cell vectors:
1 Mo 0.0352 0.9648 0.7500  4 S 2.30-2.40
2 Mo 0.9648 0.0352 0.2500  4 S 2.30-2.40
3 S 0.1753 0.3260 0.6792  1 S 2.26, 2 Mo 2.30-2.40
4 S 0.3260 0.1753 0.1792  1 S 2.26, 2 Mo 2.30-2.40
5 S 0.6740 0.8247 0.8208  1 S 2.26, 2 Mo 2.30-2.40
6 S 0.8247 0.6740 0.3208  1 S 2.26, 2 Mo 2.30-2.40
7 I 0.3522 0.6478 0.2500  2 Mo 3.07, 4 S 3.27-3.42
8 I 0.6478 0.3522 0.7500  2 Mo 3.07, 4 S 3.27-3.42

Output
- Total moment: 0.000 μB/atom

***

Model c:
Below is a relaxed MoS2I crystal, with properties calculated at the PBE level.

abc: 6.9064 6.9064 6.9064
angles: 120.57 120.57 89.01
Last column: nearest neighbours and their distance in Å.
Sites, in units of the cell vectors:
1 Mo 0.0000 0.0000 0.0000  4 S 2.25
2 Mo 0.7500 0.2500 0.5000  4 S 2.25
3 S 0.3750 0.2379 0.3629  2 Mo 2.25
4 S 0.7621 0.1250 0.1371  2 Mo 2.25
5 S 0.8750 0.0121 0.6371  2 Mo 2.25
6 S 0.9879 0.6250 0.8629  2 Mo 2.25
7 I 0.2500 0.7500 0.5000  4 S 3.39
8 I 0.5000 0.5000 0.0000  4 S 3.39

Output
- Total moment: 0.000 μB/atom

***

Model d:
Below is a relaxed MoS2I crystal, with properties calculated at the PBE level.

abc: 4.6409 4.6409 4.6409
angles: 60.00 60.00 60.00
Last column: nearest neighbours and their distance in Å.
Sites, in units of the cell vectors:
1 Mo 0.0000 0.0000 0.0000  8 S 2.84
2 S 0.2500 0.2500 0.2500  4 Mo 2.84, 4 I 2.84
3 S 0.7500 0.7500 0.7500  4 I 2.84, 4 Mo 2.84
4 I 0.5000 0.5000 0.5000  8 S 2.84

Output
- Total moment: 0.000 μB/atom

***

Bottom line: model a, by a margin of 0.120 eV/atom.

***

Model a:
Below is a relaxed Mo3SI crystal, with properties calculated at the PBE level.

abc: 4.8999 4.8999 4.8999
angles: 90.00 90.00 90.00
Last column: nearest neighbours and their distance in Å.
Sites, in units of the cell vectors:
1 Mo 0.0000 0.0000 0.5000  2 I 2.45
2 Mo 0.0000 0.5000 0.0000  2 I 2.45
3 Mo 0.5000 0.0000 0.0000  2 I 2.45
4 S 0.5000 0.5000 0.5000  12 Mo 3.46
5 I 0.0000 0.0000 0.0000  6 Mo 2.45

Output
- Total moment: 0.000 μB/atom

***

Model b:
Below is a relaxed Mo3SI crystal, with properties calculated at the PBE level.

abc: 4.5418 4.5418 4.5418
angles: 90.00 90.00 90.00
Last column: nearest neighbours and their distance in Å.
Sites, in units of the cell vectors:
1 Mo 0.0000 0.0000 0.5000  2 S 2.27
2 Mo 0.0000 0.5000 0.0000  2 S 2.27
3 Mo 0.5000 0.0000 0.0000  2 S 2.27
4 S 0.0000 0.0000 0.0000  6 Mo 2.27
5 I 0.5000 0.5000 0.5000  12 Mo 3.21

Output
- Total moment: 0.000 μB/atom

***

Bottom line: model b, by a margin of 1.492 eV/atom.

***

Model a:
Below is a relaxed Te2MoSI crystal, with properties calculated at the PBE level.

abc: 5.2468 5.2468 5.3628
angles: 90.00 90.00 90.00
Last column: nearest neighbours and their distance in Å.
Sites, in units of the cell vectors:
1 Te 0.0000 0.5000 0.0000  2 Mo 2.62
2 Te 0.5000 0.0000 0.0000  2 Mo 2.62
3 Mo 0.0000 0.0000 0.0000  4 Te 2.62, 2 I 2.68
4 S 0.5000 0.5000 0.5000  4 I 3.71, 8 Te 3.75
5 I 0.0000 0.0000 0.5000  2 Mo 2.68

Output
- Total moment: 0.000 μB/atom

***

Model b:
Below is a relaxed Te2MoSI crystal, with properties calculated at the PBE level.

abc: 5.2324 5.2324 5.5130
angles: 90.00 90.00 90.00
Last column: nearest neighbours and their distance in Å.
Sites, in units of the cell vectors:
1 Te 0.0000 0.5000 0.0000  2 S 2.62
2 Te 0.5000 0.0000 0.0000  2 S 2.62
3 Mo 0.0000 0.0000 0.5000  4 I 3.70, 8 Te 3.80
4 S 0.5000 0.5000 0.0000  4 Te 2.62, 2 I 2.76
5 I 0.5000 0.5000 0.5000  2 S 2.76

Output
- Total moment: 0.764 μB/atom

***

Bottom line: model a, by a margin of 0.405 eV/atom.